# 1
Sm2Ag6Pd | PBE | optimized geometry

Results
- SG = No. 12
- crystal system = monoclinic
- D(E_F) (states/eV per atom) = 0.3756
- energy of formation (kJ/mol of formula units) = -210

Cell lengths 4.0674, 7.1544, 7.2128 Å; angles 111.65, 106.38, 90.00 degrees
Last column: nearest neighbours and their distance in Å.
Fractional positions:
Sm  0.9411  0.1885  0.8823  2 Pd 2.89, 9 Ag 3.09-3.18
Sm  0.0589  0.8115  0.1177  2 Pd 2.89, 9 Ag 3.09-3.18
Ag  0.3879  0.8244  0.7757  6 Ag 2.95-3.15, 4 Sm 3.15-3.16, 1 Pd 3.25
Ag  0.6121  0.1756  0.2243  6 Ag 2.95-3.15, 4 Sm 3.15-3.16, 1 Pd 3.25
Ag  0.7311  0.8182  0.4622  7 Ag 2.93-3.18, 3 Sm 3.09-3.12, 1 Pd 3.13
Ag  0.1711  0.4984  0.3421  8 Ag 2.93-3.05, 2 Sm 3.10-3.18, 2 Pd 3.12
Ag  0.2689  0.1818  0.5378  7 Ag 2.93-3.18, 3 Sm 3.09-3.12, 1 Pd 3.13
Ag  0.8289  0.5016  0.6579  8 Ag 2.93-3.05, 2 Sm 3.10-3.18, 2 Pd 3.12
Pd  0.5000  0.5000  0.0000  4 Sm 2.89, 6 Ag 3.12-3.13

***

# 2
La12Sm5Ho | PBE | optimized geometry

Results
- SG = No. 12
- crystal system = monoclinic
- D(E_F) (states/eV per atom) = 1.7710
- energy of formation (kJ/mol of formula units) = 33

Cell lengths 11.0251, 11.0968, 6.4100 Å; angles 107.06, 90.00, 60.21 degrees
Last column: nearest neighbours and their distance in Å.
Fractional positions:
La  0.8316  0.9999  0.4999  3 Sm 3.66-3.71, 7 La 3.66-3.71, 2 Ho 3.70
La  0.1684  0.0001  0.5001  3 Sm 3.66-3.71, 7 La 3.66-3.71, 2 Ho 3.70
La  0.6710  0.9999  0.9999  1 Ho 3.63, 7 La 3.65-3.77, 4 Sm 3.72
La  0.3290  0.0001  0.0001  1 Ho 3.63, 7 La 3.65-3.77, 4 Sm 3.72
La  0.3359  0.6670  0.9997  4 Sm 3.65-3.72, 7 La 3.66-3.74, 1 Ho 3.71
La  0.9970  0.6673  0.9998  4 Sm 3.64-3.72, 7 La 3.65-3.74, 1 Ho 3.71
La  0.0030  0.3327  0.0002  4 Sm 3.64-3.72, 7 La 3.65-3.74, 1 Ho 3.71
La  0.6642  0.3330  0.0003  4 Sm 3.65-3.72, 7 La 3.66-3.74, 1 Ho 3.71
La  0.5030  0.3334  0.5005  5 Sm 3.64-3.72, 7 La 3.66-3.74
La  0.8363  0.6668  0.4995  5 Sm 3.64-3.72, 7 La 3.66-3.74
La  0.1637  0.3332  0.5005  5 Sm 3.64-3.72, 7 La 3.66-3.74
La  0.4970  0.6666  0.4995  5 Sm 3.64-3.72, 7 La 3.66-3.74
Sm  0.5000  0.0000  0.5000  10 La 3.66-3.72, 2 Sm 3.69
Sm  0.1663  0.6675  0.5016  10 La 3.64-3.72, 1 Ho 3.68, 1 Sm 3.70
Sm  0.8337  0.3325  0.4984  10 La 3.64-3.72, 1 Ho 3.68, 1 Sm 3.70
Sm  0.6666  0.6667  0.9991  10 La 3.64-3.72, 2 Sm 3.69-3.70
Sm  0.3334  0.3333  0.0009  10 La 3.64-3.72, 2 Sm 3.69-3.70
Ho  0.0000  0.0000  0.0000  10 La 3.63-3.71, 2 Sm 3.68